## YNb3Bi (PBE)

Data for a geometry-optimized YNb3Bi structure.

Cell and atoms, written as POSCAR:
```
YNb3Bi
1.0
5.1967 0.0000 0.0000
0.0000 5.1967 0.0000
0.0000 0.0000 5.1967
Y Nb Bi
1 3 1
Direct
0.5000 0.5000 0.5000 Y
0.0000 0.5000 0.0000 Nb
0.0000 0.0000 0.5000 Nb
0.5000 0.0000 0.0000 Nb
0.0000 0.0000 0.0000 Bi
```

Calculated values
DOS at the Fermi energy in states/eV/atom: 1.487
Crystal system: cubic
Calculated density in g cm⁻³: 6.8
E_tot in eV/atom: -6.717